A plane-wave DFT calculation with GGA-PBE was carried out for crystalline YMg2PtO at its relaxed geometry.

a = 4.1666 Å, b = 4.1666 Å, c = 4.8108 Å
α = 90.00°, β = 90.00°, γ = 90.00°
Last column: nearest neighbours and their distance in Å.
Atoms (fractional coordinates):
O 0.0000 0.0000 0.0000  4 Mg 2.08
Pt 0.5000 0.5000 0.5000  4 Y 2.95, 8 Mg 3.18
Mg 0.0000 0.5000 0.0000  2 O 2.08
Mg 0.5000 0.0000 0.0000  2 O 2.08
Y 0.0000 0.0000 0.5000  2 O 2.41

- Electronic total energy: -0.20618 Ha/atom
- Symmetry: P4/mmm, No. 123
- Total magnetization: 0.0 μB per cell